BeCd2Ir | PBE | optimized geometry

a b c (Å): 2.9968 3.9764 5.4794
angles (deg): 90.00 90.00 90.00
Closest atoms and distances in Å follow each position.
Space group Pmmm (No. 47)
Inequivalent atoms, fractional coordinates:
Be (0.0000, 0.0000, 0.0000) x1  2 Ir 2.74, 8 Cd 2.83, 2 Be 3.00
Cd (0.5000, 0.5000, 0.2474) x2  4 Cd 2.71-3.00, 4 Be 2.83, 4 Ir 2.85
Ir (0.0000, 0.0000, 0.5000) x1  2 Be 2.74, 8 Cd 2.85, 2 Ir 3.00

=====

BeCd2Ir | PBE | optimized geometry

a b c (Å): 3.8069 3.8069 19.2866
angles (deg): 90.00 90.00 90.00
Closest atoms and distances in Å follow each position.
Space group I-42d (No. 122)
Inequivalent atoms, fractional coordinates:
Be (0.0000, 0.0000, 0.0000) x4  4 Ir 2.69, 4 Cd 2.76
Cd (0.2494, 0.2500, 0.1250) x8  4 Cd 2.69-2.70, 2 Be 2.76, 2 Ir 2.76
Ir (0.0000, 0.0000, 0.5000) x4  4 Be 2.69, 4 Cd 2.76

=====

BeCdIr | PBE | optimized geometry

Properties
Energy above the most stable polymorph in this dataset, kcal/mol of atoms: 5.73

a b c (Å): 2.8457 2.8457 6.3552
angles (deg): 90.00 90.00 120.00
Closest atoms and distances in Å follow each position.
Space group P3m1 (No. 156)
Inequivalent atoms, fractional coordinates:
Be (0.0000, 0.0000, 0.0000) x1  3 Ir 2.28
Cd (0.6667, 0.3333, 0.3585) x1  3 Be 2.81, 6 Cd 2.85, 3 Ir 2.99
Ir (0.3333, 0.6667, 0.7512) x1  3 Be 2.28

=====

BeCd2Ir | PBE | optimized geometry

a b c (Å): 2.9616 4.2568 5.2555
angles (deg): 90.00 103.73 90.00
Closest atoms and distances in Å follow each position.
Space group P2/m (No. 10)
Inequivalent atoms, fractional coordinates:
Be (0.0000, 0.0000, 0.0000) x1  4 Cd 2.58, 2 Ir 2.63
Cd (0.3757, 0.5000, 0.2385) x2  2 Be 2.58, 2 Cd 2.67-2.78
Ir (0.0000, 0.0000, 0.5000) x1  2 Be 2.63, 8 Cd 2.90-2.94

=====

BeCd2Ir | PBE | optimized geometry

a b c (Å): 3.0135 3.0135 7.1957
angles (deg): 90.00 90.00 90.00
Closest atoms and distances in Å follow each position.
Space group P4mm (No. 99)
Inequivalent atoms, fractional coordinates:
Be (0.0000, 0.0000, 0.0000) x1  4 Ir 2.29
Cd (0.0000, 0.0000, 0.6046) x1  1 Be 2.84, 4 Ir 2.93, 8 Cd 3.01-3.16
Cd (0.5000, 0.5000, 0.2803) x1  1 Ir 2.85, 4 Be 2.93, 8 Cd 3.01-3.16
Ir (0.5000, 0.5000, 0.8837) x1  4 Be 2.29

=====

Be4CdIr | PBE | optimized geometry

a b c (Å): 6.3627 6.3627 6.3627
angles (deg): 90.00 90.00 90.00
Closest atoms and distances in Å follow each position.
Space group F-43m (No. 216)
Inequivalent atoms, fractional coordinates:
Be (0.1236, 0.1236, 0.3764) x16  6 Be 2.22-2.27
Cd (0.0000, 0.0000, 0.0000) x4  12 Be 2.64, 4 Ir 2.76
Ir (0.2500, 0.2500, 0.7500) x4  12 Be 2.64, 4 Cd 2.76

=====

BeCd2Ir | PBE | optimized geometry

a b c (Å): 5.3991 9.4207 2.9345
angles (deg): 90.00 118.81 90.00
Closest atoms and distances in Å follow each position.
Space group C2/m (No. 12)
Inequivalent atoms, fractional coordinates:
Be (0.0000, 0.0000, 0.0000) x2  4 Ir 2.70-2.87, 4 Cd 2.76, 2 Be 2.93
Cd (0.2500, 0.2500, 0.5000) x4  6 Cd 2.70-2.93, 2 Be 2.76, 2 Ir 2.76
Ir (0.0000, 0.5000, 0.0000) x2  4 Be 2.70-2.87, 4 Cd 2.76, 2 Ir 2.93

=====

BeCdIr | PBE | optimized geometry

Properties
Energy above the most stable polymorph in this dataset, kcal/mol of atoms: 4.34

a b c (Å): 3.9945 3.9945 3.2338
angles (deg): 90.00 90.00 120.00
Closest atoms and distances in Å follow each position.
Space group P3m1 (No. 156)
Inequivalent atoms, fractional coordinates:
Be (0.0000, 0.0000, 0.0000) x1  3 Ir 2.31
Cd (0.3333, 0.6667, 0.5016) x1  6 Be 2.81-2.82, 6 Ir 2.82
Ir (0.6667, 0.3333, 0.0017) x1  3 Be 2.31

=====

BeCdIr | PBE | optimized geometry

Properties
Energy above the most stable polymorph in this dataset, kcal/mol of atoms: 3.87

a b c (Å): 6.7843 3.9181 7.3932
angles (deg): 90.00 107.74 90.00
Closest atoms and distances in Å follow each position.
Space group C2/m (No. 12)
Inequivalent atoms, fractional coordinates:
Be (0.1054, 0.0000, 0.3153) x4  4 Ir 2.25-2.29
Cd (0.1245, 0.5000, 0.8743) x4  3 Be 2.62-2.63, 3 Ir 2.82, 3 Cd 2.87-2.88
Ir (0.2114, 0.0000, 0.6348) x4  4 Be 2.25-2.29

=====

BeCd2Ir | PBE | optimized geometry

a b c (Å): 3.8444 3.8444 8.6634
angles (deg): 90.00 90.00 90.00
Closest atoms and distances in Å follow each position.
Space group I4/mmm (No. 139)
Inequivalent atoms, fractional coordinates:
Be (0.0000, 0.0000, 0.0000) x2  4 Ir 2.72, 8 Cd 2.90
Cd (0.0000, 0.5000, 0.2500) x4  4 Cd 2.72, 4 Be 2.90, 4 Ir 2.90
Ir (0.0000, 0.0000, 0.5000) x2  4 Be 2.72, 8 Cd 2.90

=====

BeCd2Ir | PBE | optimized geometry

a b c (Å): 6.3479 6.3479 6.3479
angles (deg): 90.00 90.00 90.00
Closest atoms and distances in Å follow each position.
Space group F-43m (No. 216)
Inequivalent atoms, fractional coordinates:
Be (0.0000, 0.0000, 0.0000) x4  4 Cd 2.75, 4 Ir 2.75
Cd (0.0000, 0.0000, 0.5000) x4  4 Ir 2.75, 4 Cd 2.75
Cd (0.2500, 0.2500, 0.7500) x4  4 Cd 2.75, 4 Be 2.75
Ir (0.2500, 0.2500, 0.2500) x4  4 Be 2.75, 4 Cd 2.75

=====

BeCd2Ir2 | PBE | optimized geometry

a b c (Å): 6.0222 6.0222 4.5255
angles (deg): 90.00 90.00 90.00
Closest atoms and distances in Å follow each position.
Space group P4/mbm (No. 127)
Inequivalent atoms, fractional coordinates:
Be (0.0000, 0.0000, 0.0000) x2  4 Ir 2.30
Cd (0.1695, 0.3305, 0.5000) x4  6 Ir 2.74-2.97, 1 Cd 2.89
Ir (0.1482, 0.6482, 0.0000) x4  2 Be 2.30, 1 Ir 2.52

=====

BeCd2Ir | PBE | optimized geometry

a b c (Å): 10.2128 3.1163 4.5253
angles (deg): 90.00 116.08 90.00
Closest atoms and distances in Å follow each position.
Space group Cm (No. 8)
Inequivalent atoms, fractional coordinates:
Be (0.0000, 0.0000, 0.0000) x2  2 Ir 2.22
Cd (0.0481, 0.5000, 0.5458) x2  4 Be 2.78-2.79, 4 Cd 2.97-3.07, 4 Ir 3.00-3.04
Cd (0.2591, 0.5000, 0.2568) x2  4 Ir 2.82, 3 Be 2.84-3.15, 6 Cd 2.97-3.12
Ir (0.3277, 0.0000, 0.8249) x2  2 Be 2.22

=====

BeCd2Ir | PBE | optimized geometry

a b c (Å): 2.9219 2.9219 26.2424
angles (deg): 90.00 90.00 120.00
Closest atoms and distances in Å follow each position.
Space group R-3m (No. 166, hexagonal axes)
Inequivalent atoms, fractional coordinates:
Be (0.0000, 0.0000, 0.0000) x3  6 Cd 2.66, 6 Be 2.92
Cd (0.0000, 0.0000, 0.2550) x6  3 Be 2.66, 3 Ir 2.87, 6 Cd 2.92
Ir (0.0000, 0.0000, 0.5000) x3  6 Cd 2.87, 6 Ir 2.92

=====

Number 1: formation energy 0.33 eV per atom. Number 2: formation energy 0.55 eV per atom. Number 3: formation energy 0.06 eV per atom. Number 4: formation energy 0.30 eV per atom. Number 5: formation energy -0.13 eV per atom. Number 6: formation energy -0.16 eV per atom. Number 7: formation energy 0.35 eV per atom. Number 8: formation energy 0.00 eV per atom. Number 9: formation energy -0.02 eV per atom. Number 10: formation energy 0.23 eV per atom. Number 11: formation energy 0.24 eV per atom. Number 12: formation energy -0.03 eV per atom. Number 13: formation energy 0.03 eV per atom. Number 14: formation energy 0.42 eV per atom.